(1)
Pm2CdI PBE relaxed; polymorph energy (0 for the lowest one) = 386.9 meV/atom; crystal system = trigonal; space group = No. 166
1.0
1.8409 1.0629 11.6027
-1.8409 1.0629 11.6027
0.0000 -2.1257 11.6027
Pm Cd I
2 1 1
Cartesian
0.0000 0.0000 3.2637
0.0000 0.0000 31.5445
0.0000 0.0000 0.0000
0.0000 0.0000 17.4041

(2)
PmCdI4 PBE relaxed; crystal system = monoclinic; space group = No. 12
1.0
8.4369 -2.2436 0.0000
8.4369 2.2436 0.0000
-3.9718 0.0000 7.2851
Pm Cd I
1 1 4
Cartesian
0.0000 0.0000 0.0000
6.4510 0.0000 3.6425
-1.2734 0.0000 5.8113
3.5435 0.0000 5.2724
9.3586 0.0000 2.0126
14.1754 0.0000 1.4737

(3)
Pm2CdI PBE relaxed; polymorph energy (0 for the lowest one) = 0.0 meV/atom; crystal system = trigonal; space group = No. 160
1.0
1.9482 1.1248 9.4566
-1.9482 1.1248 9.4566
0.0000 -2.2496 9.4566
Pm Cd I
2 1 1
Cartesian
0.0000 0.0000 0.0000
0.0000 0.0000 4.7946
0.0000 0.0000 16.5870
0.0000 0.0000 11.8490

(4)
Pm2CdI2 PBE relaxed; crystal system = trigonal; space group = No. 166
1.0
2.1066 1.2162 12.2750
-2.1066 1.2162 12.2750
0.0000 -2.4325 12.2750
Pm Cd I
2 1 2
Cartesian
0.0000 0.0000 4.0791
0.0000 0.0000 32.7459
0.0000 0.0000 18.4125
0.0000 0.0000 10.2689
0.0000 0.0000 26.5560

(5)
Pm2CdI PBE relaxed; polymorph energy (0 for the lowest one) = 36.7 meV/atom; crystal system = tetragonal; space group = No. 123
1.0
3.7293 0.0000 0.0000
0.0000 3.7293 0.0000
0.0000 0.0000 8.4765
Pm Cd I
2 1 1
Cartesian
0.0000 0.0000 1.9890
0.0000 0.0000 6.4875
1.8646 1.8646 0.0000
1.8646 1.8646 4.2383

(6)
PmPrCdI PBE relaxed; crystal system = cubic; space group = No. 216
1.0
0.0000 3.9091 3.9091
3.9091 0.0000 3.9091
3.9091 3.9091 0.0000
Pm Pr Cd I
1 1 1 1
Cartesian
0.0000 0.0000 0.0000
3.9091 3.9091 3.9091
5.8636 5.8636 5.8636
1.9545 1.9545 1.9545

(7)
Pr2CdI2 PBE relaxed; crystal system = trigonal; space group = No. 166
1.0
2.1426 1.2371 12.3940
-2.1426 1.2371 12.3940
0.0000 -2.4741 12.3940
Pr Cd I
2 1 2
Cartesian
0.0000 0.0000 4.1149
0.0000 0.0000 33.0670
0.0000 0.0000 18.5910
0.0000 0.0000 10.3731
0.0000 0.0000 26.8088

(8)
PrCdI PBE relaxed; crystal system = monoclinic; space group = No. 12
1.0
3.9462 -2.2806 0.0000
3.9462 2.2806 0.0000
-0.1896 0.0000 12.4123
Pr Cd I
2 2 2
Cartesian
-0.0007 0.0000 2.3279
7.7035 0.0000 10.0843
2.6300 0.0000 0.3868
5.0728 0.0000 12.0255
2.4442 0.0000 8.1308
5.2585 0.0000 4.2814

(9)
Pr7CdI12 PBE relaxed; crystal system = trigonal; space group = No. 148
1.0
8.2102 4.7401 3.5820
-8.2102 4.7401 3.5820
0.0000 -9.4803 3.5820
Pr Cd I
7 1 12
Cartesian
0.0000 0.0000 0.0000
-2.3710 -0.6924 3.6034
1.7851 -1.7071 3.6034
0.5858 2.3995 3.6034
-0.5858 -2.3995 7.1425
-1.7851 1.7071 7.1425
2.3710 0.6924 7.1425
0.0000 0.0000 5.3729
-0.6632 -2.6626 1.6838
-1.9743 1.9056 1.6838
-3.1694 -3.2651 5.3758
-4.4124 1.1122 5.3701
2.6375 0.7570 1.6838
1.2430 -4.3773 5.3701
-1.2430 4.3773 5.3758
-2.6375 -0.7570 9.0620
4.4124 -1.1122 5.3758
3.1694 3.2651 5.3701
1.9743 -1.9057 9.0620
0.6632 2.6626 9.0620

(10)
Pr4CdI5 PBE relaxed; crystal system = monoclinic; space group = No. 12
1.0
9.8663 -2.1456 0.0000
9.8663 2.1456 0.0000
-1.9733 0.0000 9.3002
Pr Cd I
4 1 5
Cartesian
-0.4325 0.0000 2.1715
4.9122 0.0000 8.6126
12.8471 0.0000 0.6877
18.1917 0.0000 7.1288
9.8663 0.0000 0.0000
2.6660 0.0000 3.0927
1.7466 0.0000 7.6273
8.8796 0.0000 4.6501
16.0127 0.0000 1.6729
15.0932 0.0000 6.2075

(11)
Pr6CdSi2I3 PBE relaxed; crystal system = monoclinic; space group = No. 12
1.0
9.9898 -2.1823 0.0000
9.9898 2.1823 0.0000
-2.6452 0.0000 8.9786
Pr Cd Si I
6 1 2 3
Cartesian
-0.3605 0.0000 2.2115
5.2609 0.0000 3.9869
4.3910 0.0000 7.8818
12.9434 0.0000 1.0968
12.0735 0.0000 4.9917
17.6949 0.0000 6.7671
9.9898 0.0000 0.0000
2.4666 0.0000 3.0192
14.8679 0.0000 5.9594
1.1101 0.0000 7.4643
8.6672 0.0000 4.4893
16.2243 0.0000 1.5142

(12)
CdPt3I PBE relaxed; polymorph energy (0 for the lowest one) = 0.0 meV/atom; crystal system = cubic; space group = No. 221
1.0
4.9954 0.0000 0.0000
0.0000 4.9954 0.0000
0.0000 0.0000 4.9954
Cd Pt I
1 3 1
Cartesian
0.0000 0.0000 0.0000
0.0000 2.4977 2.4977
2.4977 0.0000 2.4977
2.4977 2.4977 0.0000
2.4977 2.4977 2.4977

(13)
Cd2Pt2I PBE relaxed; crystal system = tetragonal; space group = No. 127
1.0
7.5799 0.0000 0.0000
0.0000 7.5799 0.0000
0.0000 0.0000 3.6329
Cd Pt I
4 4 2
Cartesian
1.2034 2.5866 0.0000
2.5866 6.3765 0.0000
4.9933 1.2034 0.0000
6.3765 4.9933 0.0000
1.0236 4.8135 1.8164
2.7664 1.0236 1.8164
4.8135 6.5564 1.8164
6.5564 2.7664 1.8164
0.0000 0.0000 1.8164
3.7900 3.7900 1.8164

(14)
Cd3PtI PBE relaxed; polymorph energy (0 for the lowest one) = 0.0 meV/atom; crystal system = cubic; space group = No. 221
1.0
5.3118 0.0000 0.0000
0.0000 5.3118 0.0000
0.0000 0.0000 5.3118
Cd Pt I
3 1 1
Cartesian
0.0000 0.0000 2.6559
0.0000 2.6559 0.0000
2.6559 0.0000 0.0000
0.0000 0.0000 0.0000
2.6559 2.6559 2.6559

(15)
Cd2PtI PBE relaxed; polymorph energy (0 for the lowest one) = 0.0 meV/atom; crystal system = tetragonal; space group = No. 122
1.0
-2.8683 2.8683 8.0234
2.8683 -2.8683 8.0234
2.8683 2.8683 -8.0234
Cd Pt I
4 2 2
Cartesian
4.3025 0.9395 -2.0059
0.9395 1.4342 2.0059
-1.4342 1.9288 6.0176
1.9288 1.4342 10.0293
0.0000 0.0000 0.0000
0.0000 2.8683 4.0117
2.8683 0.0000 4.0117
0.0000 0.0000 8.0234

(16)
Cd2PtI PBE relaxed; polymorph energy (0 for the lowest one) = 253.5 meV/atom; crystal system = cubic; space group = No. 225
1.0
0.0000 3.5984 3.5984
3.5984 0.0000 3.5984
3.5984 3.5984 0.0000
Cd Pt I
2 1 1
Cartesian
1.7992 1.7992 1.7992
5.3976 5.3976 5.3976
0.0000 0.0000 0.0000
3.5984 3.5984 3.5984

(17)
CdPt2I PBE relaxed; polymorph energy (0 for the lowest one) = 0.0 meV/atom; crystal system = tetragonal; space group = No. 122
1.0
-2.1354 2.1354 9.3898
2.1354 -2.1354 9.3898
2.1354 2.1354 -9.3898
Cd Pt I
2 4 2
Cartesian
0.0000 0.0000 0.0000
0.0000 2.1354 4.6949
3.2031 1.0455 -2.3475
1.0455 1.0677 2.3475
-1.0677 1.0899 7.0424
1.0899 1.0677 11.7373
2.1354 0.0000 4.6949
0.0000 0.0000 9.3898

(18)
CdPt2I PBE relaxed; polymorph energy (0 for the lowest one) = 51.1 meV/atom; crystal system = cubic; space group = No. 225
1.0
0.0000 3.4057 3.4057
3.4057 0.0000 3.4057
3.4057 3.4057 0.0000
Cd Pt I
1 2 1
Cartesian
0.0000 0.0000 0.0000
1.7028 1.7028 1.7028
5.1085 5.1085 5.1085
3.4057 3.4057 3.4057

(19)
CdPt3I PBE relaxed; polymorph energy (0 for the lowest one) = 276.4 meV/atom; crystal system = cubic; space group = No. 221
1.0
5.0109 0.0000 0.0000
0.0000 5.0109 0.0000
0.0000 0.0000 5.0109
Cd Pt I
1 3 1
Cartesian
0.0000 0.0000 0.0000
0.0000 0.0000 2.5055
0.0000 2.5055 0.0000
2.5055 0.0000 0.0000
2.5055 2.5055 2.5055

(20)
Cd2SiPtI PBE relaxed; crystal system = tetragonal; space group = No. 123
1.0
5.2064 0.0000 0.0000
0.0000 5.2064 0.0000
0.0000 0.0000 5.5546
Cd Si Pt I
2 1 1 1
Cartesian
0.0000 2.6032 0.0000
2.6032 0.0000 0.0000
0.0000 0.0000 2.7773
2.6032 2.6032 0.0000
2.6032 2.6032 2.7773

| no. | Fermi-level density of states (states/eV per cell) | uncorrected formation energy (eV/atom) |
| --- | --- | --- |
| 1 | 4.970 | -0.15 |
| 2 | 3.380 | -0.96 |
| 3 | 3.905 | -0.53 |
| 4 | 4.901 | -0.84 |
| 5 | 4.751 | -0.50 |
| 6 | 3.769 | -0.41 |
| 7 | 5.829 | -0.85 |
| 8 | 5.032 | -0.76 |
| 9 | 11.211 | -1.19 |
| 10 | 3.631 | -1.03 |
| 11 | 7.658 | -0.79 |
| 12 | 4.176 | 0.97 |
| 13 | 3.293 | -0.04 |
| 14 | 1.795 | -0.13 |
| 15 | 1.069 | 0.06 |
| 16 | 1.541 | 0.32 |
| 17 | 4.914 | 0.32 |
| 18 | 4.985 | 0.37 |
| 19 | 5.756 | 1.24 |
| 20 | 3.126 | 0.61 |